# GGA+U Sr2SmFeO6, relaxed
data_Sr2SmFeO6
_cell_length_a 5.828
_cell_length_b 5.828
_cell_length_c 5.828
_cell_angle_alpha 60.00
_cell_angle_beta 60.00
_cell_angle_gamma 60.00
_space_group_name_H-M_alt 'P 1'
_space_group_IT_number 1
loop_
_space_group_symop_operation_xyz
'x,y,z'
loop_
_atom_site_label
_atom_site_type_symbol
_atom_site_fract_x
_atom_site_fract_y
_atom_site_fract_z
Sm1 Sm 0.500 0.500 0.500
O1 O 0.228 0.772 0.228
O2 O 0.228 0.228 0.772
O3 O 0.772 0.772 0.228
O4 O 0.772 0.228 0.228
O5 O 0.772 0.228 0.772
O6 O 0.228 0.772 0.772
Sr1 Sr 0.250 0.250 0.250
Sr2 Sr 0.750 0.750 0.750
Fe1 Fe 0.000 0.000 0.000
# space-group type: Fm-3m, No. 225
# E: -6.61 eV/atom
# crystal system: cubic
# N(E_F): 0.724 states/eV/cell